No. 1
Here is a geometry-optimized HfInAg2 structure from the Alexandria database. Energies are from PBE.

The space group is P6_3/mmc (No. 194) and the conventional cell measures 4.7879, 4.7879 and 8.2826 Å, with angles of 90.00, 90.00 and 120.00 degrees. The distinct sites, in fractional coordinates, are Hf at (0.0000, 0.0000, 0.0000), In at (0.3333, 0.6667, 0.2500) and Ag at (0.3333, 0.6667, 0.5902).

The value obtained for the calculated formation energy is 0.1676 eV/atom.

No. 2
Here is a geometry-optimized HfInAg2 structure from the Alexandria database. Energies are from PBE.

The space group is P4/mmm (No. 123) and the conventional cell measures 4.341, 4.341 and 4.247 Å, with angles of 90.00, 90.00 and 90.00 degrees. The distinct sites, in fractional coordinates, are Hf at (0.000, 0.000, 0.000), In at (0.500, 0.500, 0.000) and Ag at (0.000, 0.500, 0.500).

The value obtained for the calculated formation energy is 0.0387 eV/atom.

No. 3
Here is a geometry-optimized Hf3InAg structure from the Alexandria database. Energies are from PBE.

The space group is Pm-3m (No. 221) and the conventional cell measures 5.081, 5.081 and 5.081 Å, with angles of 90.00, 90.00 and 90.00 degrees. The distinct sites, in fractional coordinates, are Hf at (0.000, 0.000, 0.500), In at (0.500, 0.500, 0.500) and Ag at (0.000, 0.000, 0.000).

The value obtained for the calculated formation energy is 0.8069 eV/atom.

No. 4
Here is a geometry-optimized HfInAg2 structure from the Alexandria database. Energies are from PBE.

The space group is I-42d (No. 122) and the conventional cell measures 4.173, 4.173 and 19.962 Å, with angles of 90.00, 90.00 and 90.00 degrees. The distinct sites, in fractional coordinates, are Hf at (0.000, 0.000, 0.000), In at (0.000, 0.000, 0.500) and Ag at (0.248, 0.250, 0.625).

The value obtained for the calculated formation energy is 0.2686 eV/atom.

No. 5
Here is a geometry-optimized HfInAg2 structure from the Alexandria database. Energies are from PBE.

The space group is Cm (No. 8) and the conventional cell measures 5.081, 3.236 and 10.170 Å, with angles of 90.00, 100.67 and 90.00 degrees. The distinct sites, in fractional coordinates, are Hf at (0.000, 0.000, 0.000), In at (0.383, 0.500, 0.500), Ag at (0.294, 0.000, 0.756) and Ag at (0.473, 0.000, 0.244).

The value obtained for the calculated formation energy is 0.0729 eV/atom.

No. 6
Here is a geometry-optimized HfInAg3 structure from the Alexandria database. Energies are from PBE.

The space group is Pm-3m (No. 221) and the conventional cell measures 5.328, 5.328 and 5.328 Å, with angles of 90.00, 90.00 and 90.00 degrees. The distinct sites, in fractional coordinates, are Hf at (0.000, 0.000, 0.000), In at (0.500, 0.500, 0.500) and Ag at (0.000, 0.000, 0.500).

The value obtained for the calculated formation energy is 1.0007 eV/atom.